Rb2PF | PBE | optimized geometry

Geometry as CIF:
```
data_Rb2PF
_chemical_formula_sum 'Rb4 P2 F2'
_symmetry_space_group_name_H-M 'P 1'
_symmetry_Int_Tables_number 1
_symmetry_space_group_name_Hall 'P 1'
_cell_length_a 8.085
_cell_length_b 8.085
_cell_length_c 7.222
_cell_angle_alpha 55.96
_cell_angle_beta 55.96
_cell_angle_gamma 90.00
loop_
_atom_site_label
_atom_site_type_symbol
_atom_site_fract_x
_atom_site_fract_y
_atom_site_fract_z
Rb1 Rb 0.545 0.125 0.250
Rb2 Rb 0.875 0.795 0.750
Rb3 Rb 0.205 0.625 0.250
Rb4 Rb 0.375 0.455 0.750
F1 F 0.500 0.500 0.000
F2 F 0.250 0.750 0.500
P1 P 0.000 0.000 0.000
P2 P 0.750 0.250 0.500
```

Properties
The value obtained for the raw formation energy is -0.96 eV per atom. The symmetry is No. 122. As for the excess energy over the best structure of this formula in the dataset: 0 meV per atom. The electronic total energy is -3.26 eV per atom.